! GGA-PBE YGaS2N, relaxed; values from VASP
! Calculated density ... 4.4 Mg/m³
! V ... 88.5 Å³/f.u.
! DFT total energy ... -5.6250 eV/atom
! Energy above the lowest structure with this stoichiometry ... 0.0000 eV per atom
&SYSTEM
  ibrav = 0, nat = 5, ntyp = 4
/
ATOMIC_SPECIES
Y 88.91 Y.upf
S 32.06 S.upf
Ga 69.72 Ga.upf
N 14.01 N.upf
CELL_PARAMETERS angstrom
-3.0836 -0.4084 -3.7145
-1.8214 -4.0408 1.9564
-2.5381 2.0549 1.8811
ATOMIC_POSITIONS angstrom
Y -3.7216 -1.1972 0.0615
S -0.9107 -2.0204 0.9782
S -1.5418 -0.2042 -1.8572
Ga 0.0000 0.0000 0.0000
N -1.2691 1.0274 0.9406



! GGA-PBE YGaS2N, relaxed; values from VASP
! Calculated density ... 3.0 Mg/m³
! V ... 131.3 Å³/f.u.
! DFT total energy ... -5.1698 eV/atom
! Energy above the lowest structure with this stoichiometry ... 0.4552 eV per atom
&SYSTEM
  ibrav = 0, nat = 5, ntyp = 4
/
ATOMIC_SPECIES
Y 88.91 Y.upf
S 32.06 S.upf
Ga 69.72 Ga.upf
N 14.01 N.upf
CELL_PARAMETERS angstrom
5.3296 0.0000 0.0000
0.0000 5.3296 0.0000
0.0000 0.0000 4.6216
ATOMIC_POSITIONS angstrom
Y 0.0000 0.0000 0.0000
S 0.0000 2.6648 0.0000
S 2.6648 0.0000 0.0000
Ga 2.6648 2.6648 2.3108
N 0.0000 0.0000 2.3108



! GGA-PBE ZnGaSN2, relaxed; values from VASP
! Calculated density ... 4.0 Mg/m³
! V ... 81.3 Å³/f.u.
! DFT total energy ... -3.6979 eV/atom
! Energy above the lowest structure with this stoichiometry ... 0.2226 eV per atom
&SYSTEM
  ibrav = 0, nat = 5, ntyp = 4
/
ATOMIC_SPECIES
Zn 65.41 Zn.upf
S 32.06 S.upf
Ga 69.72 Ga.upf
N 14.01 N.upf
CELL_PARAMETERS angstrom
3.8486 0.0000 0.0000
0.0000 3.8486 0.0000
0.0000 0.0000 5.4897
ATOMIC_POSITIONS angstrom
Zn 0.0000 0.0000 0.0000
S 0.0000 0.0000 2.7448
Ga 1.9243 1.9243 2.7448
N 0.0000 1.9243 0.0000
N 1.9243 0.0000 0.0000



! GGA-PBE ZnGaSN2, relaxed; values from VASP
! Calculated density ... 4.1 Mg/m³
! V ... 78.9 Å³/f.u.
! DFT total energy ... -3.9205 eV/atom
! Energy above the lowest structure with this stoichiometry ... 0.0000 eV per atom
&SYSTEM
  ibrav = 0, nat = 5, ntyp = 4
/
ATOMIC_SPECIES
Zn 65.41 Zn.upf
S 32.06 S.upf
Ga 69.72 Ga.upf
N 14.01 N.upf
CELL_PARAMETERS angstrom
3.7581 0.0000 0.0000
0.0000 3.7581 0.0000
0.0000 0.0000 5.5895
ATOMIC_POSITIONS angstrom
Zn 1.8791 1.8791 2.7947
S 0.0000 0.0000 2.7947
Ga 0.0000 0.0000 0.0000
N 0.0000 1.8791 0.0000
N 1.8791 0.0000 0.0000



! GGA-PBE ZrGaSN2, relaxed; values from VASP
! Calculated density ... 4.0 Mg/m³
! V ... 92.3 Å³/f.u.
! DFT total energy ... -6.1961 eV/atom
! Energy above the lowest structure with this stoichiometry ... 0.0000 eV per atom
&SYSTEM
  ibrav = 0, nat = 5, ntyp = 4
/
ATOMIC_SPECIES
S 32.06 S.upf
Ga 69.72 Ga.upf
Zr 91.22 Zr.upf
N 14.01 N.upf
CELL_PARAMETERS angstrom
4.1264 0.0000 0.0000
0.0000 4.1264 0.0000
0.0000 0.0000 5.4197
ATOMIC_POSITIONS angstrom
S 0.0000 0.0000 2.7099
Ga 2.0632 2.0632 2.7099
Zr 0.0000 0.0000 0.0000
N 0.0000 2.0632 0.0000
N 2.0632 0.0000 0.0000



! GGA-PBE ZrGaSN2, relaxed; values from VASP
! Calculated density ... 5.3 Mg/m³
! V ... 69.6 Å³/f.u.
! DFT total energy ... -6.0818 eV/atom
! Energy above the lowest structure with this stoichiometry ... 0.1142 eV per atom
&SYSTEM
  ibrav = 0, nat = 5, ntyp = 4
/
ATOMIC_SPECIES
S 32.06 S.upf
Ga 69.72 Ga.upf
Zr 91.22 Zr.upf
N 14.01 N.upf
CELL_PARAMETERS angstrom
3.8260 0.0000 0.0000
0.0000 3.8260 0.0000
0.0000 0.0000 4.7536
ATOMIC_POSITIONS angstrom
S 0.0000 0.0000 2.3768
Ga 0.0000 0.0000 0.0000
Zr 1.9130 1.9130 2.3768
N 0.0000 1.9130 0.0000
N 1.9130 0.0000 0.0000



! GGA-PBE GaSbN, relaxed; values from VASP
! Calculated density ... 5.9 Mg/m³
! V ... 57.8 Å³/f.u.
! DFT total energy ... -5.1501 eV/atom
&SYSTEM
  ibrav = 0, nat = 6, ntyp = 3
/
ATOMIC_SPECIES
N 14.01 N.upf
Ga 69.72 Ga.upf
Sb 121.76 Sb.upf
CELL_PARAMETERS angstrom
-0.2754 -3.1790 -0.8954
1.6115 -2.3442 1.7005
-8.9639 -3.7719 7.7283
ATOMIC_POSITIONS angstrom
N -2.2157 -1.1147 1.9689
N 0.5513 -4.5530 1.0635
Ga -1.2850 -4.7912 2.4748
Ga -0.3760 -0.8763 0.5551
Sb -4.6936 -3.1491 4.4242
Sb -6.1912 -5.2453 6.1869



! GGA-PBE GaSbN2, relaxed; values from VASP
! Calculated density ... 7.4 Mg/m³
! V ... 49.4 Å³/f.u.
! DFT total energy ... -4.7030 eV/atom
! Energy above the lowest structure with this stoichiometry ... 0.8700 eV per atom
&SYSTEM
  ibrav = 0, nat = 4, ntyp = 3
/
ATOMIC_SPECIES
Sb 121.76 Sb.upf
Ga 69.72 Ga.upf
N 14.01 N.upf
CELL_PARAMETERS angstrom
0.0000 2.9127 2.9127
2.9127 0.0000 2.9127
2.9127 2.9127 0.0000
ATOMIC_POSITIONS angstrom
Sb 2.9127 2.9127 2.9127
Ga 0.0000 0.0000 0.0000
N 1.4564 1.4564 1.4564
N 4.3691 4.3691 4.3691



! GGA-PBE GaSbN2, relaxed; values from VASP
! Calculated density ... 6.5 Mg/m³
! V ... 56.4 Å³/f.u.
! DFT total energy ... -5.4655 eV/atom
! Energy above the lowest structure with this stoichiometry ... 0.1075 eV per atom
&SYSTEM
  ibrav = 0, nat = 4, ntyp = 3
/
ATOMIC_SPECIES
Sb 121.76 Sb.upf
Ga 69.72 Ga.upf
N 14.01 N.upf
CELL_PARAMETERS angstrom
1.8324 0.0000 6.4679
-0.9162 1.5869 6.4679
-0.9162 -1.5869 6.4679
ATOMIC_POSITIONS angstrom
Sb 0.0000 0.0000 9.7019
Ga 0.0000 0.0000 0.0000
N 0.0000 0.0000 17.2803
N 0.0000 0.0000 2.1235



! GGA-PBE Ga2Sb2N, relaxed; values from VASP
! Calculated density ... 5.3 Mg/m³
! V ... 124.9 Å³/f.u.
! DFT total energy ... -3.4814 eV/atom
! Energy above the lowest structure with this stoichiometry ... 0.6430 eV per atom
&SYSTEM
  ibrav = 0, nat = 5, ntyp = 3
/
ATOMIC_SPECIES
Sb 121.76 Sb.upf
Ga 69.72 Ga.upf
N 14.01 N.upf
CELL_PARAMETERS angstrom
4.8480 0.0000 0.0000
0.0000 4.8480 0.0000
2.4240 2.4240 5.3135
ATOMIC_POSITIONS angstrom
Sb 4.8480 2.4240 2.6568
Sb 2.4240 4.8480 2.6568
Ga 2.4240 2.4240 1.2099
Ga 4.8480 4.8480 4.1037
N 0.0000 0.0000 0.0000



! GGA-PBE Ga3SbN, relaxed; values from VASP
! Calculated density ... 6.4 Mg/m³
! V ... 89.4 Å³/f.u.
! DFT total energy ... -3.9937 eV/atom
! Energy above the lowest structure with this stoichiometry ... 0.0000 eV per atom
&SYSTEM
  ibrav = 0, nat = 5, ntyp = 3
/
ATOMIC_SPECIES
Sb 121.76 Sb.upf
Ga 69.72 Ga.upf
N 14.01 N.upf
CELL_PARAMETERS angstrom
-2.6671 1.7721 -3.1202
-2.2889 -3.8342 -0.2211
-2.7635 1.4655 3.1945
ATOMIC_POSITIONS angstrom
Sb -3.8598 -0.2983 -0.0734
Ga -1.1445 -1.9171 -0.1105
Ga -1.3817 0.7328 1.5972
Ga -1.3335 0.8860 -1.5601
N 0.0000 0.0000 0.0000



! GGA-PBE GaSbN2, relaxed; values from VASP
! Calculated density ... 6.0 Mg/m³
! V ... 60.5 Å³/f.u.
! DFT total energy ... -5.5730 eV/atom
! Energy above the lowest structure with this stoichiometry ... 0.0000 eV per atom
&SYSTEM
  ibrav = 0, nat = 8, ntyp = 3
/
ATOMIC_SPECIES
Sb 121.76 Sb.upf
Ga 69.72 Ga.upf
N 14.01 N.upf
CELL_PARAMETERS angstrom
-1.2952 -4.4236 -2.0958
4.5206 -1.9124 1.2429
-0.1364 -4.6150 3.7087
ATOMIC_POSITIONS angstrom
Sb 0.0000 0.0000 0.0000
Sb 0.0906 -6.1033 0.5933
Ga 1.6127 -3.1680 -0.4264
Ga 2.9985 -4.8477 2.2626
N -0.2039 -3.9028 -0.1066
N 2.5548 -3.1566 1.3213
N 1.3675 -5.9474 2.5333
N 2.4597 -8.8951 1.9637



! GGA-PBE Ga3SbN, relaxed; values from VASP
! Calculated density ... 3.8 Mg/m³
! V ... 151.4 Å³/f.u.
! DFT total energy ... -2.6736 eV/atom
! Energy above the lowest structure with this stoichiometry ... 1.3201 eV per atom
&SYSTEM
  ibrav = 0, nat = 5, ntyp = 3
/
ATOMIC_SPECIES
Sb 121.76 Sb.upf
Ga 69.72 Ga.upf
N 14.01 N.upf
CELL_PARAMETERS angstrom
5.3302 0.0000 0.0000
0.0000 5.3302 0.0000
0.0000 0.0000 5.3302
ATOMIC_POSITIONS angstrom
Sb 0.0000 0.0000 0.0000
Ga 0.0000 2.6651 0.0000
Ga 0.0000 0.0000 2.6651
Ga 2.6651 0.0000 0.0000
N 2.6651 2.6651 2.6651



! GGA-PBE GaSbN2, relaxed; values from VASP
! Calculated density ... 6.7 Mg/m³
! V ... 54.4 Å³/f.u.
! DFT total energy ... -5.4728 eV/atom
! Energy above the lowest structure with this stoichiometry ... 0.1003 eV per atom
&SYSTEM
  ibrav = 0, nat = 4, ntyp = 3
/
ATOMIC_SPECIES
Sb 121.76 Sb.upf
Ga 69.72 Ga.upf
N 14.01 N.upf
CELL_PARAMETERS angstrom
1.8562 0.0000 6.0806
-0.9281 1.6075 6.0806
-0.9281 -1.6075 6.0806
ATOMIC_POSITIONS angstrom
Sb 0.0000 0.0000 0.0000
Ga 0.0000 0.0000 9.1209
N 0.0000 0.0000 16.2053
N 0.0000 0.0000 2.0364